Tm2BeCo | PBE-GGA | relaxed

Computed properties:
Total moment (μB/atom): 0.000
ΔH_f (0 K) (meV/atom): 621
Energy above the lowest structure with this stoichiometry (eV per formula unit): 3.22
Energy (eV/atom): -4.323

a = 3.6112 Å, b = 3.6112 Å, c = 26.8269 Å
α = 90.00°, β = 90.00°, γ = 120.00°
Space group R-3m (No. 166, hexagonal axes)
Unique sites:
Tm 0.0000 0.0000 0.1095 x6
Be 0.0000 0.0000 0.0000 x3
Co 0.0000 0.0000 0.5000 x3


SrHo2Tl | PBE-GGA | relaxed

Computed properties:
Total moment (μB/atom): 0.000
ΔH_f (0 K) (meV/atom): 137
Energy above the lowest structure with this stoichiometry (eV per formula unit): 0.71
Energy (eV/atom): -3.164

a = 3.6893 Å, b = 3.6893 Å, c = 35.8193 Å
α = 90.00°, β = 90.00°, γ = 120.00°
Space group R-3m (No. 166, hexagonal axes)
Unique sites:
Sr 0.0000 0.0000 0.0000 x3
Ho 0.0000 0.0000 0.0996 x6
Tl 0.0000 0.0000 0.5000 x3


Hf6RePt | PBE-GGA | relaxed

Computed properties:
Total moment (μB/atom): 0.000
ΔH_f (0 K) (meV/atom): 152
Energy (eV/atom): -9.625

a = 5.8199 Å, b = 5.8313 Å, c = 7.4158 Å
α = 90.26°, β = 112.96°, γ = 119.76°
Space group P-1 (No. 2)
Unique sites:
Hf 0.0154 0.4513 0.2127 x2
Hf 0.2584 0.0627 0.2133 x2
Hf 0.3554 0.3060 0.7880 x2
Re 0.5000 0.0000 0.0000 x1
Pt 0.5000 0.5000 0.5000 x1


KHfB | PBE-GGA | relaxed

Computed properties:
Total moment (μB/atom): 0.196
ΔH_f (0 K) (meV/atom): 463
Energy above the lowest structure with this stoichiometry (eV per formula unit): 1.59
Energy (eV/atom): -5.447

a = 3.7684 Å, b = 5.8300 Å, c = 7.2166 Å
α = 95.50°, β = 105.11°, γ = 108.83°
Space group P1 (No. 1)
Unique sites:
K 0.0000 0.0000 0.0000 x1
K 0.3156 0.5488 0.0795 x1
Hf 0.1219 0.7275 0.5142 x1
Hf 0.4129 0.2700 0.5553 x1
B 0.7170 0.0058 0.4275 x1
B 0.8414 0.3007 0.3810 x1


Y2CdCuC | PBE-GGA | relaxed

Computed properties:
Total moment (μB/atom): 0.000
ΔH_f (0 K) (meV/atom): -176
Energy (eV/atom): -5.608

a = 5.0345 Å, b = 5.0345 Å, c = 3.9064 Å
α = 90.00°, β = 90.00°, γ = 90.00°
Space group P4/mmm (No. 123)
Unique sites:
Y 0.0000 0.5000 0.0000 x2
Cd 0.0000 0.0000 0.5000 x1
Cu 0.5000 0.5000 0.5000 x1
C 0.5000 0.5000 0.0000 x1


Co5P | PBE-GGA | relaxed

Computed properties:
Total moment (μB/atom): 1.023
ΔH_f (0 K) (meV/atom): -47
Energy above the lowest structure with this stoichiometry (eV per formula unit): 0.30
Energy (eV/atom): -6.870

a = 2.6192 Å, b = 2.6192 Å, c = 9.4802 Å
α = 90.00°, β = 90.00°, γ = 90.00°
Space group P4/mmm (No. 123)
Unique sites:
Co 0.0000 0.0000 0.0000 x1
Co 0.0000 0.0000 0.3599 x2
Co 0.5000 0.5000 0.1710 x2
P 0.5000 0.5000 0.5000 x1


LaTh2Mg | PBE-GGA | relaxed

Computed properties:
Total moment (μB/atom): 0.000
ΔH_f (0 K) (meV/atom): 112
Energy above the lowest structure with this stoichiometry (eV per formula unit): 0.18
Energy (eV/atom): -5.228

a = 3.4911 Å, b = 3.4911 Å, c = 35.7659 Å
α = 90.00°, β = 90.00°, γ = 120.00°
Space group R3m (No. 160, hexagonal axes)
Unique sites:
La 0.0000 0.0000 0.0000 x3
Th 0.0000 0.0000 0.2468 x3
Th 0.0000 0.0000 0.4203 x3
Mg 0.0000 0.0000 0.8336 x3


HoCu11 | PBE-GGA | relaxed

Computed properties:
Total moment (μB/atom): 0.000
ΔH_f (0 K) (meV/atom): -81
Energy (eV/atom): -4.217

a = 9.9769 Å, b = 9.9769 Å, c = 6.5374 Å
α = 90.00°, β = 90.00°, γ = 90.00°
Space group I4_1/amd (No. 141, origin choice 2)
Unique sites:
Ho 0.0000 0.2500 0.3750 x4
Cu 0.0000 0.0000 0.0000 x8
Cu 0.0000 0.2500 0.8750 x4
Cu 0.1223 0.0439 0.6802 x32